(1)
An optimized crystal structure of InP2Br. Source: Alexandria, functional GGA-PBE.

Cell and atoms, written as POSCAR:
```
InP2Br
1.0
-1.625 1.192 2.645
2.255 -3.448 2.939
3.670 3.123 0.848
Br P In
1 2 1
Cartesian
1.023 2.157 1.746
0.315 -1.128 2.792
0.000 0.000 0.000
2.963 -0.162 1.894
```

Summary:
The relative energy among the computed polymorphs comes out at 0.729 eV/atom. The calculation puts the magnetization at 0.00 μB/atom. As for the density: 5.176 g cm⁻³.



(2)
An optimized crystal structure of Na3SrTl. Source: Alexandria, functional GGA-PBE.

Cell and atoms, written as POSCAR:
```
Na3SrTl
1.0
-1.009 5.231 2.629
-0.804 -2.767 5.195
5.799 0.526 1.178
Na Sr Tl
3 1 1
Cartesian
2.900 0.263 0.589
-0.504 2.615 1.315
-0.402 -1.383 2.598
1.993 1.495 4.501
0.000 0.000 0.000
```

Summary:
The relative energy among the computed polymorphs comes out at 0.162 eV/atom. The energy of formation from the pure elements is 0.45 eV/f.u. The calculation puts the magnetization at 0.00 μB/atom. As for the density: 2.859 g cm⁻³.



(3)
An optimized crystal structure of BaSiNi2. Source: Alexandria, functional GGA-PBE.

Cell and atoms, written as POSCAR:
```
BaSiNi2
1.0
4.057 -0.002 0.007
2.030 3.512 0.007
2.019 1.164 5.655
Ba Ni Si
1 2 1
Cartesian
2.026 1.169 1.417
4.051 2.336 3.872
2.020 1.165 4.618
6.079 3.506 4.252
```

Summary:
The calculation puts the total DFT energy (no corrections) at -5.1512 eV per atom. The calculation puts the magnetization at 0.00 μB/atom. As for the density: 5.832 g cm⁻³.



(4)
An optimized crystal structure of TmTh3. Source: Alexandria, functional GGA-PBE.

Cell and atoms, written as POSCAR:
```
TmTh3
1.0
3.539 0.000 0.000
-1.769 7.363 2.471
0.000 2.409 5.660
Th Tm
3 1
Cartesian
1.769 1.205 2.830
1.769 5.470 5.477
0.000 4.302 2.653
0.000 0.000 0.000
```

Summary:
The relative energy among the computed polymorphs comes out at 0.000 eV/atom. The energy of formation from the pure elements is 0.15 eV/f.u. The calculation puts the magnetization at 0.00 μB/atom. As for the density: 11.364 g cm⁻³.



Q: Which formula does entry 4 have?
A: TmTh3



Q: Which value of magnetization does entry 2 give?
A: 0.00 μB/atom



Copy entry 4 word for word.
An optimized crystal structure of TmTh3. Source: Alexandria, functional GGA-PBE.

Cell and atoms, written as POSCAR:
```
TmTh3
1.0
3.539 0.000 0.000
-1.769 7.363 2.471
0.000 2.409 5.660
Th Tm
3 1
Cartesian
1.769 1.205 2.830
1.769 5.470 5.477
0.000 4.302 2.653
0.000 0.000 0.000
```

Summary:
The relative energy among the computed polymorphs comes out at 0.000 eV/atom. The energy of formation from the pure elements is 0.15 eV/f.u. The calculation puts the magnetization at 0.00 μB/atom. As for the density: 11.364 g cm⁻³.